VASP calculation (PBE-GGA) on a relaxed structure of SrErIrPd.

Summary:
Energy of formation from the pure elements   -12.2 kcal/mol of atoms
Magnetic moment   0.0 μB/cell
Raw total energy   -22.417 eV/cell

Lattice parameters (Å, degrees): 4.9892 4.9892 4.9892 60.00 60.00 60.00
Atoms (fractional coordinates):
Er (0.7500, 0.7500, 0.7500)
Sr (0.2500, 0.2500, 0.2500)
Pd (0.5000, 0.5000, 0.5000)
Ir (0.0000, 0.0000, 0.0000)